(1)
PaCuPdO4: optimized geometry, PBE-GGA.

ρ: 7.79 g cm⁻³
Energy relative to the elements, uncorrected: -12.6 eV per formula unit
Total energy: -7.31 eV/atom
Size of the total moment: 0.000 μB per cell
Volume: 99.1 Å³/f.u.

Unit cell a=6.6843 b=6.6843 c=6.6843 alpha=127.56 beta=118.92 gamma=84.66
Closest atoms and distances in Å follow each position.
Sites, in units of the cell vectors:
Pa: 0.0000 0.0000 0.0000  6 O 2.20-2.27
Pa: 0.5000 0.0000 0.5000  6 O 2.20-2.27
Cu: 0.4159 0.6659 0.7500  4 O 2.04-2.20
Cu: 0.5841 0.3341 0.2500  4 O 2.04-2.20
Pd: 0.0000 0.0000 0.5000  4 O 2.09
Pd: 0.0000 0.5000 0.0000  4 O 2.09
O: 0.1939 0.2287 0.9652  2 Pd 2.09, 1 Cu 2.20, 1 Pa 2.27
O: 0.2365 0.7713 0.4652  2 Pd 2.09, 1 Cu 2.20, 1 Pa 2.27
O: 0.2908 0.2667 0.4758  1 Cu 2.04, 2 Pa 2.20
O: 0.2908 0.8150 0.0242  1 Cu 2.04, 2 Pa 2.20
O: 0.7092 0.1850 0.9758  1 Cu 2.04, 2 Pa 2.20
O: 0.7092 0.7333 0.5242  1 Cu 2.04, 2 Pa 2.20
O: 0.7635 0.2287 0.5348  2 Pd 2.09, 1 Cu 2.20, 1 Pa 2.27
O: 0.8061 0.7713 0.0348  2 Pd 2.09, 1 Cu 2.20, 1 Pa 2.27



(2)
BeP2SO: optimized geometry, PBE-GGA.

ρ: 2.76 g cm⁻³
Energy relative to the elements, uncorrected: 3.6 eV per formula unit
Relative energy among the computed polymorphs: 584 meV per atom
Total energy: -4.01 eV/atom
Size of the total moment: 0.000 μB per cell
Volume: 71.5 Å³/f.u.

Unit cell a=4.6345 b=4.6345 c=3.3297 alpha=90.00 beta=90.00 gamma=90.00
Closest atoms and distances in Å follow each position.
Sites, in units of the cell vectors:
Be: 0.0000 0.0000 0.0000  8 P 2.85
P: 0.0000 0.5000 0.5000  2 S 2.32
P: 0.5000 0.0000 0.5000  2 S 2.32
S: 0.5000 0.5000 0.5000  2 O 1.66
O: 0.5000 0.5000 0.0000  2 S 1.66



(3)
TlCdBiPb2: optimized geometry, PBE-GGA.

ρ: 8.94 g cm⁻³
Relative energy among the computed polymorphs: 0 meV per atom
Formation energy: 38.7 kJ/mol of formula units
Total energy: -2.84 eV/atom
Size of the total moment: 0.000 μB per cell
Volume: 174.6 Å³/f.u.

Unit cell a=7.8205 b=7.8205 c=6.9940 alpha=90.00 beta=90.00 gamma=125.29
Closest atoms and distances in Å follow each position.
Sites, in units of the cell vectors:
Tl: 0.2350 0.7650 0.7500  4 Cd 3.75-4.00, 4 Bi 3.78-3.84, 4 Pb 4.10
Tl: 0.7650 0.2350 0.2500  4 Cd 3.75-4.00, 4 Bi 3.78-3.84, 4 Pb 4.10
Cd: 0.1380 0.8620 0.2500  1 Bi 2.93, 4 Pb 3.14
Cd: 0.8620 0.1380 0.7500  1 Bi 2.93, 4 Pb 3.14
Bi: 0.3487 0.6513 0.2500  1 Cd 2.93
Bi: 0.6513 0.3487 0.7500  1 Cd 2.93
Pb: 0.2463 0.2463 0.0000  2 Cd 3.14, 2 Bi 3.29, 2 Pb 3.50
Pb: 0.2463 0.2463 0.5000  2 Cd 3.14, 2 Bi 3.29, 2 Pb 3.50
Pb: 0.7537 0.7537 0.0000  2 Cd 3.14, 2 Bi 3.29, 2 Pb 3.50
Pb: 0.7537 0.7537 0.5000  2 Cd 3.14, 2 Bi 3.29, 2 Pb 3.50



(4)
Ho3MgNp3N8: optimized geometry, PBE-GGA.

ρ: 10.25 g cm⁻³
Energy relative to the elements, uncorrected: -17.2 eV per formula unit
Total energy: -9.20 eV/atom
Size of the total moment: 7.866 μB per cell
Volume: 217.5 Å³/f.u.

Unit cell a=6.7910 b=6.7910 c=6.7910 alpha=59.22 beta=59.22 gamma=59.22
Closest atoms and distances in Å follow each position.
Sites, in units of the cell vectors:
Ho: 0.0000 0.5000 0.5000  6 N 2.37-2.50
Ho: 0.5000 0.0000 0.5000  6 N 2.37-2.50
Ho: 0.5000 0.5000 0.0000  6 N 2.37-2.50
Mg: 0.5000 0.5000 0.5000  6 N 2.27
Np: 0.0000 0.0000 0.5000  6 N 2.29-2.40
Np: 0.0000 0.5000 0.0000  6 N 2.29-2.40
Np: 0.5000 0.0000 0.0000  6 N 2.29-2.40
N: 0.2408 0.7378 0.7378  1 Mg 2.27, 2 Np 2.29, 2 Ho 2.50
N: 0.2518 0.2518 0.2518  3 Ho 2.37, 3 Np 2.40
N: 0.2622 0.2622 0.7592  1 Mg 2.27, 2 Np 2.29, 2 Ho 2.50
N: 0.2622 0.7592 0.2622  1 Mg 2.27, 2 Np 2.29, 2 Ho 2.50
N: 0.7378 0.2408 0.7378  1 Mg 2.27, 2 Np 2.29, 2 Ho 2.50
N: 0.7378 0.7378 0.2408  1 Mg 2.27, 2 Np 2.29, 2 Ho 2.50
N: 0.7482 0.7482 0.7482  3 Ho 2.37, 3 Np 2.40
N: 0.7592 0.2622 0.2622  1 Mg 2.27, 2 Np 2.29, 2 Ho 2.50